(1)
## Nb2SnGeN (PBE)

Data for a relaxed Nb2SnGeN crystal.

```
5
Lattice="5.0183 0.0000 0.0000 0.0000 5.0183 0.0000 0.0000 0.0000 3.7169" Properties=species:S:1:pos:R:3 pbc="T T T"
Nb 0.0000 2.5091 0.0000
Nb 2.5091 0.0000 0.0000
Sn 0.0000 0.0000 1.8585
Ge 2.5091 2.5091 0.0000
N 2.5091 2.5091 1.8585
```

Calculated values
Raw formation energy: 91 kJ per mole of atoms
Density of states at the Fermi level: 5.10 states/eV/cell
Total moment: 0.00 Bohr magnetons per cell
Total energy: -6.48 eV/atom
SG: No. 123

---

(2)
## PmHoCuAg (PBE)

Data for a relaxed PmHoCuAg crystal.

```
4
Lattice="3.5661 0.0000 0.0000 0.0000 3.5661 0.0000 0.0000 0.0000 7.2938" Properties=species:S:1:pos:R:3 pbc="T T T"
Pm 0.0000 0.0000 0.0000
Ho 0.0000 0.0000 3.4479
Cu 1.7830 1.7830 1.8620
Ag 1.7830 1.7830 5.2436
```

Calculated values
E above lowest polymorph: 0.000 eV per formula unit
Density of states at the Fermi level: 2.22 states/eV/cell
Total moment: 0.00 Bohr magnetons per cell
Total energy: -4.33 eV/atom
SG: No. 99

---

(3)
## KTa2Os (PBE)

Data for a relaxed KTa2Os crystal.

```
4
Lattice="4.8453 0.0000 0.0000 0.0000 4.8453 0.0000 0.0000 0.0000 3.1159" Properties=species:S:1:pos:R:3 pbc="T T T"
K 0.0000 0.0000 0.0000
Ta 0.0000 2.4227 1.5579
Ta 2.4227 0.0000 1.5579
Os 2.4227 2.4227 0.0000
```

Calculated values
E above lowest polymorph: 3.109 eV per formula unit
Density of states at the Fermi level: 2.21 states/eV/cell
Total moment: 0.00 Bohr magnetons per cell
Total energy: -7.65 eV/atom
SG: No. 123

---

(4)
## MgCr3I (PBE)

Data for a relaxed MgCr3I crystal.

```
5
Lattice="5.0281 0.0000 0.0000 0.0000 5.0281 0.0000 0.0000 0.0000 5.0281" Properties=species:S:1:pos:R:3 pbc="T T T"
Mg 0.0000 0.0000 0.0000
Cr 0.0000 2.5141 2.5141
Cr 2.5141 0.0000 2.5141
Cr 2.5141 2.5141 0.0000
I 2.5141 2.5141 2.5141
```

Calculated values
Raw formation energy: 137 kJ per mole of atoms
E above lowest polymorph: 0.000 eV per formula unit
Density of states at the Fermi level: 3.71 states/eV/cell
Total moment: 11.13 Bohr magnetons per cell
Total energy: -4.98 eV/atom
SG: No. 221

---

(5)
## PmErNiRh (PBE)

Data for a relaxed PmErNiRh crystal.

```
4
Lattice="4.1178 0.0000 0.0000 0.0000 1.9253 5.3556 0.0000 -1.9253 5.3556" Properties=species:S:1:pos:R:3 pbc="T T T"
Pm 0.0000 0.0000 0.0000
Er 2.0589 0.0000 7.6964
Ni 2.0589 0.0000 4.6281
Rh 0.0000 0.0000 2.9473
```

Calculated values
E above lowest polymorph: 0.000 eV per formula unit
Density of states at the Fermi level: 2.46 states/eV/cell
Total moment: 0.00 Bohr magnetons per cell
Total energy: -6.22 eV/atom
SG: No. 38

---

(6)
## InGePt (PBE)

Data for a relaxed InGePt crystal.

```
6
Lattice="4.7313 -1.8994 0.0000 4.7313 1.8994 0.0000 -4.2243 0.0000 6.4988" Properties=species:S:1:pos:R:3 pbc="T T T"
In -0.7448 0.0000 2.4773
In 5.9832 0.0000 4.0215
Ge -0.7343 0.0000 6.2089
Ge 5.9727 0.0000 0.2899
Pt 1.9601 0.0000 1.8091
Pt 3.2783 0.0000 4.6897
```

Calculated values
Density of states at the Fermi level: 1.57 states/eV/cell
Total moment: 0.00 Bohr magnetons per cell
Total energy: -4.87 eV/atom
SG: No. 12

---

(7)
## Nd6SmY5 (PBE)

Data for a relaxed Nd6SmY5 crystal.

```
12
Lattice="3.1528 -5.4596 0.0000 3.1528 5.4596 0.0000 -2.0924 0.0000 11.7486" Properties=species:S:1:pos:R:3 pbc="T T T"
Nd 1.0485 1.8181 2.9445
Nd 0.0084 0.0000 8.8060
Nd 1.0485 -1.8181 2.9445
Nd 3.1647 1.8181 8.8041
Nd 4.2047 0.0000 2.9426
Nd 3.1647 -1.8181 8.8041
Sm 0.0000 0.0000 0.0000
Y 2.1066 3.6385 5.8743
Y 3.1528 1.8191 0.0000
Y 2.1066 0.0000 5.8743
Y 3.1528 -1.8191 0.0000
Y 2.1066 -3.6385 5.8743
```

Calculated values
E above lowest polymorph: 0.000 eV per formula unit
Density of states at the Fermi level: 14.56 states/eV/cell
Total moment: 0.00 Bohr magnetons per cell
Total energy: -5.46 eV/atom
SG: No. 12

---

(8)
## Er3Ga9Rh2 (PBE)

Data for a relaxed Er3Ga9Rh2 crystal.

```
14
Lattice="-2.1271 4.7367 6.1726 2.1271 -4.7367 6.1726 2.1271 4.7367 -6.1726" Properties=species:S:1:pos:R:3 pbc="T T T"
Er 0.0000 0.0000 0.0000
Er 0.0000 0.0000 3.6943
Er 0.0000 0.0000 8.6509
Ga 2.1271 -1.2815 1.8990
Ga 2.1271 -2.0644 4.5069
Ga 2.1271 1.2815 1.8990
Ga 0.0000 2.6723 1.6657
Ga 0.0000 4.7367 0.0000
Ga 2.1271 2.0644 4.5069
Ga 0.0000 3.4552 4.2736
Ga 0.0000 6.8011 1.6657
Ga 0.0000 6.0183 4.2736
Rh 2.1271 3.0711 0.0000
Rh 0.0000 1.6656 6.1726
```

Calculated values
Density of states at the Fermi level: 4.30 states/eV/cell
Total moment: 0.00 Bohr magnetons per cell
Total energy: -4.64 eV/atom
SG: No. 71

---

- Number 6 is which compound?
  InGePt

---

- Which of these has the lowest total energy?
  KTa2Os

---

- Number 5 is which compound?
  PmErNiRh